[1]
InAgBr | PBE | relaxed

D(E_F) ... 0.83 states/eV/f.u.
Distance to the lowest polymorph of the same formula ... 0.131 eV per atom

Unit cell a=3.5898 b=3.5898 c=11.6954 alpha=90.00 beta=90.00 gamma=90.00
Space group I4mm (No. 107)
Symmetry-distinct sites (fractional):
In 0.0000 0.0000 0.0000
Ag 0.0000 0.0000 0.6369
Br 0.0000 0.0000 0.2871

---

[2]
InAgBr | PBE | relaxed

D(E_F) ... 1.01 states/eV/f.u.
Distance to the lowest polymorph of the same formula ... 0.059 eV per atom

Unit cell a=12.3579 b=3.7493 c=3.6383 alpha=90.00 beta=106.61 gamma=90.00
Space group Cm (No. 8)
Symmetry-distinct sites (fractional):
In 0.0000 0.0000 0.0000
Ag 0.1114 0.5000 0.6083
Br 0.3012 0.5000 0.2830